{"formula": "KHfCuS3", "functional": "PBE", "state": "relaxed", "dft_energy_ev_per_atom": -5.7204, "cell": [[-7.587, 5.076, -2.729], [-1.301, -2.982, -1.930], [-7.010, -4.335, 11.424]], "species": ["Cu", "Cu", "Cu", "Cu", "Hf", "Hf", "Hf", "Hf", "K", "K", "K", "K", "S", "S", "S", "S", "S", "S", "S", "S", "S", "S", "S", "S"], "fractional_positions": [[0.653, 0.750, 0.134], [0.153, 0.750, 0.366], [0.847, 0.250, 0.634], [0.347, 0.250, 0.866], [0.331, 0.750, 0.061], [0.831, 0.750, 0.439], [0.169, 0.250, 0.561], [0.669, 0.250, 0.939], [0.967, 0.250, 0.174], [0.467, 0.250, 0.326], [0.533, 0.750, 0.674], [0.033, 0.750, 0.826], [0.816, 0.750, 0.010], [0.516, 0.250, 0.100], [0.235, 0.750, 0.215], [0.735, 0.750, 0.285], [0.016, 0.250, 0.400], [0.316, 0.750, 0.490], [0.684, 0.250, 0.510], [0.984, 0.750, 0.600], [0.265, 0.250, 0.715], [0.765, 0.250, 0.785], [0.484, 0.750, 0.900], [0.184, 0.250, 0.990]]}

---

{"formula": "HoZr2", "functional": "PBE", "state": "relaxed", "formation_energy_mev_per_atom": 51, "cell": [[-4.803, -0.103, -3.235], [-4.783, -2.583, 1.999], [-1.550, 4.540, 2.157]], "species": ["Ho", "Ho", "Zr", "Zr", "Zr", "Zr"], "fractional_positions": [[0.000, 0.000, 0.000], [0.333, 0.333, 0.000], [0.667, 0.667, 0.000], [0.983, 0.351, 0.500], [0.351, 0.667, 0.500], [0.667, 0.983, 0.500]]}

---

{"formula": "NiGe2Pd", "functional": "PBE", "state": "relaxed", "de_polymorph_mev_per_atom": 231, "cell": [[1.455, -9.248, 0.000], [1.455, 9.248, 0.000], [0.000, 0.000, 4.466]], "species": ["Ge", "Ge", "Ge", "Ge", "Ni", "Ni", "Pd", "Pd"], "fractional_positions": [[0.721, 0.279, 0.250], [0.458, 0.542, 0.250], [0.542, 0.458, 0.750], [0.279, 0.721, 0.750], [0.331, 0.669, 0.250], [0.669, 0.331, 0.750], [0.101, 0.899, 0.250], [0.899, 0.101, 0.750]]}

---

{"formula": "PrAlNiPd", "functional": "PBE", "state": "relaxed", "de_polymorph_mev_per_atom": 6, "cell": [[4.307, 0.000, 0.000], [-2.153, 3.730, 0.000], [0.000, 0.000, 9.672]], "species": ["Al", "Al", "Ni", "Ni", "Pd", "Pd", "Pr", "Pr"], "fractional_positions": [[0.000, 0.000, 0.243], [0.000, 0.000, 0.757], [0.333, 0.667, 0.193], [0.333, 0.667, 0.807], [0.667, 0.333, 0.315], [0.667, 0.333, 0.685], [0.667, 0.333, 0.000], [0.333, 0.667, 0.500]]}

---

{"formula": "Sm2Cl4O", "functional": "PBE", "state": "relaxed", "dft_energy_ev_per_atom": -5.6518, "cell": [[7.720, -3.170, 0.000], [7.720, 3.170, 0.000], [-0.951, 0.000, 6.316]], "species": ["Cl", "Cl", "Cl", "Cl", "Cl", "Cl", "Cl", "Cl", "O", "O", "Sm", "Sm", "Sm", "Sm"], "fractional_positions": [[0.523, 0.299, 0.058], [0.861, 0.724, 0.195], [0.276, 0.139, 0.305], [0.701, 0.477, 0.442], [0.299, 0.523, 0.558], [0.724, 0.861, 0.695], [0.139, 0.276, 0.805], [0.477, 0.701, 0.942], [0.029, 0.971, 0.250], [0.971, 0.029, 0.750], [0.906, 0.268, 0.051], [0.732, 0.094, 0.449], [0.268, 0.906, 0.551], [0.094, 0.732, 0.949]]}

---

{"formula": "BaNdTe2AuS", "functional": "PBE", "state": "relaxed", "dft_energy_ev_per_atom": -4.7489, "cell": [[0.164, 1.984, 7.581], [-3.724, 0.574, -6.872], [-5.900, -8.894, 2.455]], "species": ["Au", "Au", "Ba", "Ba", "Nd", "Nd", "S", "S", "Te", "Te", "Te", "Te"], "fractional_positions": [[0.524, 0.476, 0.250], [0.476, 0.524, 0.750], [0.275, 0.725, 0.250], [0.725, 0.275, 0.750], [0.000, 0.000, 0.000], [0.000, 0.000, 0.500], [0.931, 0.069, 0.250], [0.069, 0.931, 0.750], [0.647, 0.353, 0.059], [0.647, 0.353, 0.441], [0.353, 0.647, 0.559], [0.353, 0.647, 0.941]]}

---

{"formula": "GdAgPd2", "functional": "PBE", "state": "relaxed", "formation_energy_mev_per_atom": -674, "cell": [[-4.144, 0.496, -1.144], [-0.288, -4.244, -0.797], [-1.101, -0.623, 3.716]], "species": ["Ag", "Gd", "Pd", "Pd"], "fractional_positions": [[0.000, 0.000, 0.500], [0.500, 0.500, 0.500], [0.500, 0.000, 0.000], [0.000, 0.500, 0.000]]}

---

{"formula": "Tb3GdSn2C2", "functional": "PBE", "state": "relaxed", "dft_energy_ev_per_atom": -6.1297, "cell": [[-3.167, -0.280, 1.782], [1.068, -2.663, -2.247], [7.495, -7.268, 12.176]], "species": ["C", "C", "Gd", "Sn", "Sn", "Tb", "Tb", "Tb"], "fractional_positions": [[0.333, 0.667, 0.001], [0.333, 0.667, 0.500], [0.000, 0.000, 0.915], [0.000, 0.000, 0.250], [0.667, 0.333, 0.749], [0.667, 0.333, 0.085], [0.667, 0.333, 0.415], [0.000, 0.000, 0.584]]}

---

{"formula": "CuSn2Os", "functional": "PBE", "state": "relaxed", "dft_energy_ev_per_atom": -5.0148, "cell": [[0.000, 3.329, 3.329], [3.329, 0.000, 3.329], [3.329, 3.329, 0.000]], "species": ["Cu", "Os", "Sn", "Sn"], "fractional_positions": [[0.250, 0.250, 0.250], [0.500, 0.500, 0.500], [0.000, 0.000, 0.000], [0.750, 0.750, 0.750]]}

---

{"formula": "CsRbSm", "functional": "PBE", "state": "relaxed", "de_polymorph_mev_per_atom": 0, "cell": [[0.000, 4.884, 4.884], [4.884, 0.000, 4.884], [4.884, 4.884, 0.000]], "species": ["Cs", "Rb", "Sm"], "fractional_positions": [[0.250, 0.250, 0.250], [0.000, 0.000, 0.000], [0.750, 0.750, 0.750]]}

---

{"formula": "Tm3BiO6", "functional": "PBE", "state": "relaxed", "dft_energy_ev_per_atom": -7.5678, "cell": [[3.594, 0.000, 0.000], [0.135, 5.813, 0.000], [1.156, 0.110, 6.564]], "species": ["Bi", "O", "O", "O", "O", "O", "O", "Tm", "Tm", "Tm"], "fractional_positions": [[0.500, 0.000, 0.500], [0.455, 0.743, 0.019], [0.029, 0.138, 0.299], [0.766, 0.633, 0.378], [0.234, 0.367, 0.622], [0.971, 0.862, 0.701], [0.545, 0.257, 0.981], [0.000, 0.000, 0.000], [0.312, 0.478, 0.258], [0.688, 0.522, 0.742]]}

---

{"formula": "NdGePO", "functional": "PBE", "state": "relaxed", "de_polymorph_mev_per_atom": 92, "cell": [[4.506, 0.000, 0.000], [0.000, 4.634, 0.000], [0.000, 0.000, 6.879]], "species": ["Ge", "Ge", "Nd", "Nd", "O", "O", "P", "P"], "fractional_positions": [[0.000, 0.843, 0.456], [0.000, 0.157, 0.956], [0.500, 0.694, 0.084], [0.500, 0.306, 0.584], [0.500, 0.832, 0.430], [0.500, 0.168, 0.930], [0.000, 0.386, 0.284], [0.000, 0.614, 0.784]]}

---

{"formula": "NdSmSbBr2", "functional": "PBE", "state": "relaxed", "dft_energy_ev_per_atom": -4.9120, "cell": [[4.339, 0.000, 0.000], [-2.169, 3.758, 0.000], [0.000, 0.000, 11.035]], "species": ["Br", "Br", "Nd", "Sb", "Sm"], "fractional_positions": [[0.333, 0.667, 0.322], [0.667, 0.333, 0.682], [0.667, 0.333, 0.162], [0.000, 0.000, 0.997], [0.333, 0.667, 0.838]]}

---

{"formula": "NbTe6Ir2", "functional": "PBE", "state": "relaxed", "dft_energy_ev_per_atom": -5.4583, "cell": [[-0.873, 10.295, 1.067], [-3.630, 9.582, -1.704], [-3.904, -0.826, 4.096]], "species": ["Ir", "Ir", "Nb", "Te", "Te", "Te", "Te", "Te", "Te"], "fractional_positions": [[0.337, 0.337, 0.478], [0.663, 0.663, 0.522], [0.000, 0.000, 0.000], [0.880, 0.880, 0.210], [0.216, 0.216, 0.274], [0.548, 0.548, 0.301], [0.452, 0.452, 0.699], [0.784, 0.784, 0.726], [0.120, 0.120, 0.790]]}

---

{"formula": "LaDyNi4", "functional": "PBE", "state": "relaxed", "formation_energy_mev_per_atom": -50, "de_polymorph_mev_per_atom": 328, "cell": [[-2.796, -4.670, -0.178], [5.437, -0.091, 0.308], [-0.457, -0.033, 8.057]], "species": ["Dy", "Dy", "La", "La", "Ni", "Ni", "Ni", "Ni", "Ni", "Ni", "Ni", "Ni"], "fractional_positions": [[0.667, 0.333, 0.500], [0.333, 0.667, 0.500], [0.000, 0.000, 0.000], [0.000, 0.000, 0.500], [0.667, 0.333, 0.000], [0.333, 0.667, 0.000], [0.500, 0.000, 0.226], [0.000, 0.500, 0.226], [0.500, 0.500, 0.226], [0.500, 0.000, 0.774], [0.000, 0.500, 0.774], [0.500, 0.500, 0.774]]}

---

{"formula": "ZnIr9", "functional": "PBE", "state": "relaxed", "formation_energy_mev_per_atom": 26, "de_polymorph_mev_per_atom": 0, "cell": [[2.742, 0.000, 0.000], [0.000, 2.742, 0.000], [0.000, 0.000, 51.221]], "species": ["Ir", "Ir", "Ir", "Ir", "Ir", "Ir", "Ir", "Ir", "Ir", "Ir", "Ir", "Ir", "Ir", "Ir", "Ir", "Ir", "Ir", "Ir", "Zn", "Zn"], "fractional_positions": [[0.500, 0.000, 0.180], [0.000, 0.500, 0.217], [0.500, 0.000, 0.255], [0.000, 0.500, 0.293], [0.500, 0.000, 0.330], [0.000, 0.500, 0.368], [0.500, 0.000, 0.406], [0.000, 0.500, 0.444], [0.500, 0.000, 0.481], [0.000, 0.500, 0.519], [0.500, 0.000, 0.556], [0.000, 0.500, 0.594], [0.500, 0.000, 0.632], [0.000, 0.500, 0.670], [0.500, 0.000, 0.707], [0.000, 0.500, 0.745], [0.500, 0.000, 0.783], [0.000, 0.500, 0.820], [0.000, 0.500, 0.144], [0.500, 0.000, 0.856]]}

---

{"formula": "La4TaI3", "functional": "PBE", "state": "relaxed", "dft_energy_ev_per_atom": -4.9468, "cell": [[6.397, 0.000, 0.000], [0.000, 6.397, 0.000], [0.000, 0.000, 6.397]], "species": ["I", "I", "I", "La", "La", "La", "La", "Ta"], "fractional_positions": [[0.500, 0.500, 0.000], [0.500, 0.000, 0.500], [0.000, 0.500, 0.500], [0.500, 0.000, 0.000], [0.000, 0.500, 0.000], [0.000, 0.000, 0.500], [0.500, 0.500, 0.500], [0.000, 0.000, 0.000]]}

---

{"formula": "NbOF3", "functional": "PBE", "state": "relaxed", "dft_energy_ev_per_atom": -6.9447, "cell": [[-7.580, 2.054, 1.866], [-1.873, -7.792, 0.969], [0.967, 0.225, 3.681]], "species": ["F", "F", "F", "F", "F", "F", "F", "F", "F", "F", "F", "F", "Nb", "Nb", "Nb", "Nb", "O", "O", "O", "O"], "fractional_positions": [[0.123, 0.120, 0.250], [0.380, 0.377, 0.250], [0.620, 0.623, 0.250], [0.877, 0.880, 0.250], [0.890, 0.390, 0.253], [0.110, 0.610, 0.253], [0.390, 0.110, 0.747], [0.610, 0.890, 0.747], [0.880, 0.123, 0.750], [0.623, 0.380, 0.750], [0.377, 0.620, 0.750], [0.120, 0.877, 0.750], [0.151, 0.349, 0.279], [0.849, 0.651, 0.279], [0.651, 0.151, 0.721], [0.349, 0.849, 0.721], [0.627, 0.127, 0.243], [0.373, 0.873, 0.243], [0.127, 0.373, 0.757], [0.873, 0.627, 0.757]]}

---

{"formula": "RbAgGeS3", "functional": "PBE", "state": "relaxed", "dft_energy_ev_per_atom": -3.7750, "cell": [[2.848, 5.248, -5.204], [-3.341, -6.891, 2.021], [-9.397, 4.328, -0.777]], "species": ["Ag", "Ag", "Ge", "Ge", "Rb", "Rb", "S", "S", "S", "S", "S", "S"], "fractional_positions": [[0.578, 0.422, 0.250], [0.422, 0.578, 0.750], [0.000, 0.000, 0.000], [0.000, 0.000, 0.500], [0.274, 0.726, 0.250], [0.726, 0.274, 0.750], [0.611, 0.389, 0.021], [0.957, 0.043, 0.250], [0.611, 0.389, 0.479], [0.389, 0.611, 0.521], [0.043, 0.957, 0.750], [0.389, 0.611, 0.979]]}

---

{"formula": "PmH4Pd3", "functional": "PBE", "state": "relaxed", "dft_energy_ev_per_atom": -4.5940, "cell": [[5.537, 0.000, 0.000], [0.000, 5.537, 0.000], [0.000, 0.000, 5.537]], "species": ["H", "H", "H", "H", "H", "H", "H", "H", "Pd", "Pd", "Pd", "Pd", "Pd", "Pd", "Pm", "Pm"], "fractional_positions": [[0.250, 0.250, 0.250], [0.750, 0.250, 0.250], [0.250, 0.750, 0.250], [0.750, 0.750, 0.250], [0.250, 0.250, 0.750], [0.750, 0.250, 0.750], [0.250, 0.750, 0.750], [0.750, 0.750, 0.750], [0.500, 0.250, 0.000], [0.500, 0.750, 0.000], [0.000, 0.500, 0.250], [0.250, 0.000, 0.500], [0.750, 0.000, 0.500], [0.000, 0.500, 0.750], [0.000, 0.000, 0.000], [0.500, 0.500, 0.500]]}

---

{"formula": "Tl2Te3Pd2", "functional": "PBE", "state": "relaxed", "de_polymorph_mev_per_atom": 0, "cell": [[-4.549, 4.549, 4.549], [4.549, -4.549, 4.549], [4.549, 4.549, -4.549]], "species": ["Pd", "Pd", "Pd", "Pd", "Te", "Te", "Te", "Te", "Te", "Te", "Tl", "Tl", "Tl", "Tl"], "fractional_positions": [[0.811, 0.500, 0.000], [0.000, 0.811, 0.500], [0.689, 0.689, 0.689], [0.500, 0.000, 0.811], [0.750, 0.832, 0.082], [0.668, 0.418, 0.250], [0.250, 0.668, 0.418], [0.418, 0.250, 0.668], [0.832, 0.082, 0.750], [0.082, 0.750, 0.832], [0.314, 0.500, 0.000], [0.186, 0.186, 0.186], [0.500, 0.000, 0.314], [0.000, 0.314, 0.500]]}

---

{"formula": "GdDyTe2", "functional": "PBE", "state": "relaxed", "de_polymorph_mev_per_atom": 0, "cell": [[4.223, 0.000, 0.000], [-2.111, 3.657, 0.000], [0.000, 0.000, 7.712]], "species": ["Dy", "Gd", "Te", "Te"], "fractional_positions": [[0.000, 0.000, 0.500], [0.000, 0.000, 0.000], [0.333, 0.667, 0.254], [0.667, 0.333, 0.746]]}